(1)
# LiH2N

Crystalline LiH2N at its relaxed geometry (GGA-PBEsol, Alexandria via LeMat-Bulk).

a = 3.3171 Å, b = 3.7708 Å, c = 9.3509 Å
α = 90.00°, β = 90.00°, γ = 90.00°
Element x y z (fractional)
1 Li 0.2500 0.2500 0.0220
2 Li 0.2500 0.2500 0.5220
3 Li 0.7500 0.7500 0.4780
4 Li 0.7500 0.7500 0.9780
5 H 0.0369 0.6553 0.1861
6 H 0.0369 0.8447 0.6861
7 H 0.4631 0.6553 0.6861
8 H 0.4631 0.8447 0.1861
9 H 0.5369 0.1553 0.8139
10 H 0.5369 0.3447 0.3139
11 H 0.9631 0.1553 0.3139
12 H 0.9631 0.3447 0.8139
13 N 0.2500 0.7500 0.1149
14 N 0.2500 0.7500 0.6149
15 N 0.7500 0.2500 0.3851
16 N 0.7500 0.2500 0.8851

Results
Excess energy over the best structure of this formula in the dataset: 18 meV per atom
Total magnetization: 0.000 μB per formula unit

***

(2)
# Li2HN

Crystalline Li2HN at its relaxed geometry (GGA-PBEsol, Alexandria via LeMat-Bulk).

a = 7.0329 Å, b = 7.0329 Å, c = 7.0329 Å
α = 120.51°, β = 119.92°, γ = 89.62°
Element x y z (fractional)
1 Li 0.1079 0.3495 0.2270
2 Li 0.1079 0.8809 0.7584
3 Li 0.1262 0.8762 0.2500
4 Li 0.3550 0.1050 0.2500
5 Li 0.3660 0.6160 0.7500
6 Li 0.3775 0.1191 0.7270
7 Li 0.3775 0.6505 0.2584
8 Li 0.5000 0.0000 0.0000
9 Li 0.5000 0.5000 0.5000
10 Li 0.6225 0.3495 0.7416
11 Li 0.6225 0.8809 0.2730
12 Li 0.6340 0.3840 0.2500
13 Li 0.6450 0.8950 0.7500
14 Li 0.8738 0.1238 0.7500
15 Li 0.8921 0.1191 0.2416
16 Li 0.8921 0.6505 0.7730
17 H 0.1100 0.6946 0.4154
18 H 0.1975 0.3094 0.6119
19 H 0.1975 0.5855 0.8881
20 H 0.2208 0.3054 0.9154
21 H 0.7792 0.6946 0.0846
22 H 0.8025 0.4145 0.1119
23 H 0.8025 0.6906 0.3881
24 H 0.8900 0.3054 0.5846
25 N 0.2578 0.2482 0.4904
26 N 0.2578 0.7675 0.0096
27 N 0.2731 0.2412 0.0319
28 N 0.2907 0.7588 0.5319
29 N 0.7093 0.2412 0.4681
30 N 0.7269 0.7588 0.9681
31 N 0.7422 0.2325 0.9904
32 N 0.7422 0.7518 0.5096

Results
Excess energy over the best structure of this formula in the dataset: 4 meV per atom
Total magnetization: 0.000 μB per formula unit